A plane-wave DFT calculation with GGA-PBE was carried out for Pm3ZnHg2 after structural relaxation.

The structure in POSCAR format:
```
Pm3ZnHg2
1.0
-1.6805 0.8892 -3.2161
-2.9898 -2.0002 1.0092
-4.5290 9.2547 4.9252
Pm Zn Hg
3 1 2
Cartesian
-1.5744 3.2172 1.7121
0.0000 0.0000 0.0000
-2.9546 6.0375 3.2131
-4.5996 4.0718 1.3591
-3.1293 1.0674 -0.2398
-6.0699 7.0763 2.9581
```

## Properties
The value obtained for the magnetic moment is 0.107 μB/atom. For the density of states at the Fermi level, the calculation gives 6.7 states/eV/cell. Its energy of formation from the pure elements is -0.42 eV/atom. The value obtained for the polymorph energy (0 for the lowest one) is 0 meV per atom. The uncorrected energy comes out at -3.11 eV/atom. The space-group type is No. 123.

A plane-wave DFT calculation with GGA-PBE was carried out for PmZnHg2 after structural relaxation.

The structure in POSCAR format:
```
PmZnHg2
1.0
5.0819 0.0000 0.0000
2.5409 4.4010 0.0000
2.5409 1.4670 4.1493
Zn Hg Pm
1 2 1
Cartesian
0.0000 0.0000 0.0000
2.5409 1.4670 1.0373
7.6228 4.4010 3.1120
5.0819 2.9340 2.0747
```

## Properties
The value obtained for the magnetic moment is 0.000 μB/atom. For the density of states at the Fermi level, the calculation gives 2.0 states/eV/cell. Its energy of formation from the pure elements is -0.33 eV/atom. The value obtained for the polymorph energy (0 for the lowest one) is 0 meV per atom. The uncorrected energy comes out at -1.98 eV/atom. The space-group type is No. 225.